A geometry-optimized HoThCoNi structure, computed with GGA-PBE.

## Properties
**Symmetry**: No. 38
**Calculated formation energy**: -34.69 kJ/mol of atoms
**Distance to the lowest polymorph of the same formula**: 0 meV/atom
**VASP energy**: -26.3 eV/cell
**DOS(E_F)**: 2.86 states/eV/cell

Cell lengths 3.680, 4.388, 5.323 Å; angles 90.00, 110.22, 90.00 degrees
Fractional coordinates of all 4 atoms:
Ho  0.863  0.500  0.726
Th  0.140  0.000  0.279
Co  0.420  0.000  0.839
Ni  0.578  0.500  0.156